Entry 1:
# Tl2HgSb | Alexandria via LeMat-Bulk | meta-GGA SCAN | PBEsol geometry
# Excess energy over the best structure of this formula in the dataset   0.045 eV/atom
# Magnetic moment   0.0 μB per formula unit
# Crystal system   monoclinic
# D(E_F)   3.4 states/eV per cell
data_Tl2HgSb
_space_group_name_H-M_alt 'C 1 m 1'
_space_group_IT_number 8
_cell_length_a 12.0654
_cell_length_b 3.3113
_cell_length_c 5.7312
_cell_angle_alpha 90.00
_cell_angle_beta 107.76
_cell_angle_gamma 90.00
loop_
_space_group_symop_operation_xyz
'x,y,z'
'x,-y,z'
'x+1/2,y+1/2,z'
'x+1/2,-y+1/2,z'
loop_
_atom_site_label
_atom_site_fract_x
_atom_site_fract_y
_atom_site_fract_z
Tl1 0.0000 0.0000 0.0000
Tl2 0.2141 0.0000 0.6405
Hg1 0.4701 0.0000 0.4944
Sb1 0.2540 0.5000 0.1635



Entry 2:
# AgAuF7 | Alexandria via LeMat-Bulk | meta-GGA SCAN | PBEsol geometry
# Magnetic moment   0.0 μB per formula unit
# Crystal system   orthorhombic
# D(E_F)   4.0 states/eV per cell
data_AgAuF7
_space_group_name_H-M_alt 'P n m a'
_space_group_IT_number 62
_cell_length_a 7.7191
_cell_length_b 7.1017
_cell_length_c 10.0433
_cell_angle_alpha 90.00
_cell_angle_beta 90.00
_cell_angle_gamma 90.00
loop_
_space_group_symop_operation_xyz
'x,y,z'
'-x,-y,-z'
'-x+1/2,-y,z+1/2'
'x+1/2,y,-z+1/2'
'x+1/2,-y+1/2,-z+1/2'
'-x+1/2,y+1/2,z+1/2'
'-x,y+1/2,-z'
'x,-y+1/2,z'
loop_
_atom_site_label
_atom_site_fract_x
_atom_site_fract_y
_atom_site_fract_z
Ag1 0.1338 0.2500 0.2413
Au1 0.1945 0.7500 0.0556
F1 0.0357 0.2500 0.0244
F2 0.0822 0.2500 0.6346
F3 0.1126 0.7500 0.6953
F4 0.1181 0.5629 0.1817
F5 0.2275 0.0670 0.4269



Entry 3:
# TaRhN2 | Alexandria via LeMat-Bulk | meta-GGA SCAN | PBEsol geometry
# Magnetic moment   0.0 μB per formula unit
# Crystal system   cubic
# D(E_F)   14.6 states/eV per cell
data_TaRhN2
_space_group_name_H-M_alt 'F m -3 m'
_space_group_IT_number 225
_space_group_name_Hall '-F 4 2 3'
_cell_length_a 5.4141
_cell_length_b 5.4141
_cell_length_c 5.4141
_cell_angle_alpha 90.00
_cell_angle_beta 90.00
_cell_angle_gamma 90.00
loop_
_atom_site_label
_atom_site_fract_x
_atom_site_fract_y
_atom_site_fract_z
Ta1 0.0000 0.0000 0.0000
Rh1 0.0000 0.0000 0.5000
N1 0.2500 0.2500 0.2500



Number 1: total energy -62.4902 eV per atom. Number 2: total energy -15.0185 eV per atom. Number 3: total energy -29.4151 eV per atom.